1.
VASP calculation (PBE-GGA) on crystalline KRbMo2S at its relaxed geometry.

a b c (Å): 4.5578 4.5578 6.1668
angles (deg): 90.00 90.00 90.00
Closest atoms and distances in Å follow each position.
Atoms (fractional coordinates):
K (0.0000, 0.0000, 0.0000)  2 S 3.08, 4 Rb 3.22
Rb (0.5000, 0.5000, 0.0000)  4 K 3.22
Mo (0.0000, 0.5000, 0.5000)  2 S 2.28
Mo (0.5000, 0.0000, 0.5000)  2 S 2.28
S (0.0000, 0.0000, 0.5000)  4 Mo 2.28

Values from the calculation:
V: 128.11 Å³ per cell
Symmetry: P4/mmm, No. 123
Formation energy without anion corrections: 357 kJ/mol of formula units
Final energy: -4.8307 eV per atom
Total moment: 0.0 μB per cell
DOS at the Fermi energy: 0.58 states/eV/atom

***

2.
VASP calculation (PBE-GGA) on crystalline KRb2ScMo at its relaxed geometry.

a b c (Å): 7.4278 7.4278 4.8560
angles (deg): 90.00 90.00 90.00
Closest atoms and distances in Å follow each position.
Atoms (fractional coordinates):
K (0.0000, 0.0000, 0.0000)  8 Rb 4.44, 2 K 4.86
Rb (0.0000, 0.5000, 0.5000)  2 Sc 3.71
Rb (0.5000, 0.0000, 0.5000)  2 Sc 3.71
Sc (0.5000, 0.5000, 0.5000)  2 Mo 2.43
Mo (0.5000, 0.5000, 0.0000)  2 Sc 2.43

Values from the calculation:
V: 267.91 Å³ per cell
Symmetry: P4/mmm, No. 123
Energy relative to the elements: 1.092 eV per atom
Final energy: -2.9468 eV per atom
Total moment: 2.3 μB per cell
DOS at the Fermi energy: 0.78 states/eV/atom

***

3.
VASP calculation (PBE-GGA) on crystalline K2RbMoSe4 at its relaxed geometry.

a b c (Å): 8.5825 8.5825 8.3305
angles (deg): 90.00 90.00 90.00
Closest atoms and distances in Å follow each position.
Atoms (fractional coordinates):
K (0.0000, 0.0000, 0.0000)  4 Se 3.22
K (0.0000, 0.5000, 0.2500)  4 Se 3.43
K (0.5000, 0.0000, 0.7500)  4 Se 3.43
K (0.5000, 0.5000, 0.5000)  4 Se 3.22
Rb (0.0000, 0.0000, 0.5000)  4 Se 3.38
Rb (0.5000, 0.5000, 0.0000)  4 Se 3.38
Mo (0.0000, 0.5000, 0.7500)  4 Se 2.38
Mo (0.5000, 0.0000, 0.2500)  4 Se 2.38
Se (0.1547, 0.6684, 0.9123)  1 Mo 2.38
Se (0.1684, 0.3453, 0.5877)  1 Mo 2.38
Se (0.3316, 0.1547, 0.0877)  1 Mo 2.38
Se (0.3453, 0.8316, 0.4123)  1 Mo 2.38
Se (0.6547, 0.1684, 0.4123)  1 Mo 2.38
Se (0.6684, 0.8453, 0.0877)  1 Mo 2.38
Se (0.8316, 0.6547, 0.5877)  1 Mo 2.38
Se (0.8453, 0.3316, 0.9123)  1 Mo 2.38

Values from the calculation:
V: 613.62 Å³ per cell
Symmetry: I-4, No. 82
Formation energy without anion corrections: -638 kJ/mol of formula units
Final energy: -4.3176 eV per atom
Total moment: 2.0 μB per cell
DOS at the Fermi energy: 0.60 states/eV/atom

***

4.
VASP calculation (PBE-GGA) on crystalline K2Rb3MoSe6 at its relaxed geometry.

a b c (Å): 7.9621 7.9621 8.0251
angles (deg): 99.99 99.99 119.45
Closest atoms and distances in Å follow each position.
Atoms (fractional coordinates):
K (0.1661, 0.8339, 0.0000)  6 Se 3.30-3.34
K (0.8339, 0.1661, 0.0000)  6 Se 3.30-3.34
Rb (0.0000, 0.0000, 0.5000)  4 Se 3.33
Rb (0.3223, 0.6777, 0.5000)  6 Se 3.40-3.80
Rb (0.6777, 0.3223, 0.5000)  6 Se 3.40-3.80
Mo (0.5000, 0.5000, 0.0000)  6 Se 2.53-2.58
Se (0.1673, 0.4345, 0.8038)  1 Mo 2.58
Se (0.3093, 0.3093, 0.1940)  1 Mo 2.53
Se (0.4345, 0.1673, 0.8038)  1 Mo 2.58
Se (0.5655, 0.8327, 0.1962)  1 Mo 2.58
Se (0.6907, 0.6907, 0.8060)  1 Mo 2.53
Se (0.8327, 0.5655, 0.1962)  1 Mo 2.58

Values from the calculation:
V: 415.95 Å³ per cell
Symmetry: C2/m, No. 12
Formation energy without anion corrections: -830 kJ/mol of formula units
Final energy: -3.7862 eV per atom
Total moment: 1.1 μB per cell
DOS at the Fermi energy: 1.23 states/eV/atom

***

5.
VASP calculation (PBE-GGA) on crystalline K3Rb2MoSe6 at its relaxed geometry.

a b c (Å): 8.1144 8.1144 7.6545
angles (deg): 101.08 101.08 118.90
Closest atoms and distances in Å follow each position.
Atoms (fractional coordinates):
K (0.0000, 0.0000, 0.0000)  4 Se 3.20
K (0.3212, 0.6788, 0.0000)  4 Se 3.30
K (0.6788, 0.3212, 0.0000)  4 Se 3.30
Rb (0.1646, 0.8354, 0.5000)  6 Se 3.38-3.45
Rb (0.8354, 0.1646, 0.5000)  6 Se 3.38-3.45
Mo (0.5000, 0.5000, 0.5000)  6 Se 2.52-2.59
Se (0.1666, 0.4300, 0.2892)  1 Mo 2.59
Se (0.3243, 0.3243, 0.7069)  1 Mo 2.52
Se (0.4300, 0.1666, 0.2892)  1 Mo 2.59
Se (0.5700, 0.8334, 0.7108)  1 Mo 2.59
Se (0.6757, 0.6757, 0.2931)  1 Mo 2.52
Se (0.8334, 0.5700, 0.7108)  1 Mo 2.59

Values from the calculation:
V: 408.45 Å³ per cell
Symmetry: C2/m, No. 12
Formation energy without anion corrections: -823 kJ/mol of formula units
Final energy: -3.7915 eV per atom
Total moment: 1.1 μB per cell
DOS at the Fermi energy: 1.25 states/eV/atom

***

6.
VASP calculation (PBE-GGA) on crystalline KRbTa2Mo at its relaxed geometry.

a b c (Å): 4.8938 4.8938 6.6711
angles (deg): 90.00 90.00 90.00
Closest atoms and distances in Å follow each position.
Atoms (fractional coordinates):
K (0.0000, 0.0000, 0.0000)  2 Mo 3.34, 4 Rb 3.46
Rb (0.5000, 0.5000, 0.0000)  4 K 3.46
Ta (0.0000, 0.5000, 0.5000)  2 Mo 2.45
Ta (0.5000, 0.0000, 0.5000)  2 Mo 2.45
Mo (0.0000, 0.0000, 0.5000)  4 Ta 2.45

Values from the calculation:
V: 159.77 Å³ per cell
Symmetry: P4/mmm, No. 123
Energy relative to the elements: 1.395 eV per atom
Final energy: -5.9254 eV per atom
Total moment: 0.4 μB per cell
DOS at the Fermi energy: 0.96 states/eV/atom